*1*
The following is a DFT calculation (PBE-GGA) of a geometry-optimized Pm6Nd12Pb structure.

abc: 8.728 8.728 8.728
angles: 88.49 88.49 88.49
Atoms (fractional coordinates):
Pm  0.744  0.904  0.298
Pm  0.702  0.256  0.096
Pm  0.096  0.702  0.256
Pm  0.256  0.096  0.702
Pm  0.298  0.744  0.904
Pm  0.904  0.298  0.744
Nd  0.781  0.539  0.430
Nd  0.430  0.781  0.539
Nd  0.539  0.430  0.781
Nd  0.219  0.461  0.570
Nd  0.570  0.219  0.461
Nd  0.461  0.570  0.219
Nd  0.014  0.186  0.361
Nd  0.814  0.639  0.986
Nd  0.639  0.986  0.814
Nd  0.986  0.814  0.639
Nd  0.186  0.361  0.014
Nd  0.361  0.014  0.186
Pb  0.000  0.000  0.000

- space-group type = No. 148
- M_tot (μB per formula unit) = 0.00
- DOS at the Fermi energy (states/eV per cell) = 28.710

=====

*2*
The following is a DFT calculation (PBE-GGA) of a geometry-optimized Pm6Nd12Pb structure.

abc: 8.855 8.855 8.855
angles: 98.02 98.02 98.02
Atoms (fractional coordinates):
Pm  0.135  0.135  0.407
Pm  0.865  0.593  0.865
Pm  0.593  0.865  0.865
Pm  0.865  0.865  0.593
Pm  0.135  0.407  0.135
Pm  0.407  0.135  0.135
Nd  0.580  0.172  0.580
Nd  0.172  0.580  0.580
Nd  0.580  0.580  0.172
Nd  0.420  0.828  0.420
Nd  0.828  0.420  0.420
Nd  0.420  0.420  0.828
Nd  0.259  0.001  0.741
Nd  0.259  0.741  0.999
Nd  0.999  0.259  0.741
Nd  0.741  0.999  0.259
Nd  0.741  0.259  0.001
Nd  0.001  0.741  0.259
Pb  0.000  0.000  0.000

- space-group type = No. 148
- M_tot (μB per formula unit) = 0.00
- DOS at the Fermi energy (states/eV per cell) = 30.025

=====

Energies relative to the most stable structure, in kJ/mol of atoms: *1* 0.0; *2* 1.8.